Ba2GaGe3Au4 | PBE | optimized geometry

Output
ρ (g cm⁻³): 9.53
Raw total energy (eV/atom): -3.90
Energy relative to the elements (kJ per mole of atoms): -50

Cell lengths 4.6622, 4.6622, 10.8232 Å; angles 90.00, 90.00, 90.00 degrees
Atoms (fractional coordinates):
Ba1 0.0000 0.5000 0.2471
Ba2 0.5000 0.0000 0.7529
Ga1 0.0000 0.0000 0.5000
Ge1 0.0000 0.5000 0.8734
Ge2 0.5000 0.0000 0.1266
Ge3 0.5000 0.5000 0.5000
Au1 0.0000 0.0000 0.0000
Au2 0.0000 0.5000 0.6257
Au3 0.5000 0.0000 0.3743
Au4 0.5000 0.5000 0.0000